Here is a relaxed structure of SrOsRh2 from Alexandria via LeMat-Bulk. Energies are from GGA-PBE.

a = 2.851 Å, b = 3.635 Å, c = 7.180 Å
α = 90.00°, β = 90.00°, γ = 90.00°
Positions (direct):
Sr: 0.000 0.000 0.000
Os: 0.000 0.000 0.500
Rh: 0.500 0.500 0.315
Rh: 0.500 0.500 0.685

Its electronic total energy is -26.6 eV for the cell shown. The calculation puts the relative energy among the computed polymorphs at 0.0 kJ per mole of atoms. The formation energy comes out at 259 meV per atom.

=====

Here is a relaxed structure of Sr2Os2Rh from Alexandria via LeMat-Bulk. Energies are from GGA-PBE.

a = 7.245 Å, b = 7.245 Å, c = 7.245 Å
α = 144.88°, β = 144.88°, γ = 50.52°
Positions (direct):
Sr: 0.250 0.750 0.500
Sr: 0.750 0.250 0.500
Os: 0.086 0.086 0.000
Os: 0.914 0.914 0.000
Rh: 0.500 0.500 0.000

Its electronic total energy is -24.3 eV for the cell shown. The calculation puts the relative energy among the computed polymorphs at 134.6 kJ per mole of atoms. The formation energy comes out at 1773 meV per atom.

=====

Here is a relaxed structure of SrOsRh2 from Alexandria via LeMat-Bulk. Energies are from GGA-PBE.

a = 4.638 Å, b = 4.638 Å, c = 6.110 Å
α = 97.22°, β = 97.22°, γ = 35.63°
Positions (direct):
Sr: 0.000 0.000 0.000
Os: 0.500 0.500 0.500
Rh: 0.241 0.241 0.676
Rh: 0.759 0.759 0.324

Its electronic total energy is -26.2 eV for the cell shown. The calculation puts the relative energy among the computed polymorphs at 10.3 kJ per mole of atoms. The formation energy comes out at 365 meV per atom.

=====

Here is a relaxed structure of Sr2OsRh from Alexandria via LeMat-Bulk. Energies are from GGA-PBE.

a = 3.550 Å, b = 3.550 Å, c = 8.945 Å
α = 90.00°, β = 90.00°, γ = 95.71°
Positions (direct):
Sr: 0.000 0.000 0.000
Sr: 0.500 0.500 0.413
Os: 0.000 0.000 0.667
Rh: 0.500 0.500 0.748

Its electronic total energy is -20.4 eV for the cell shown. The calculation puts the relative energy among the computed polymorphs at 24.0 kJ per mole of atoms. The formation energy comes out at 386 meV per atom.

=====

Here is a relaxed structure of Sr2OsRh from Alexandria via LeMat-Bulk. Energies are from GGA-PBE.

a = 9.523 Å, b = 9.523 Å, c = 9.523 Å
α = 20.34°, β = 20.34°, γ = 20.34°
Positions (direct):
Sr: 0.249 0.249 0.249
Sr: 0.751 0.751 0.751
Os: 0.000 0.000 0.000
Rh: 0.500 0.500 0.500

Its electronic total energy is -18.8 eV for the cell shown. The calculation puts the relative energy among the computed polymorphs at 62.3 kJ per mole of atoms. The formation energy comes out at 782 meV per atom.

=====

Here is a relaxed structure of Sr2OsRh from Alexandria via LeMat-Bulk. Energies are from GGA-PBE.

a = 5.035 Å, b = 5.035 Å, c = 5.035 Å
α = 60.00°, β = 60.00°, γ = 60.00°
Positions (direct):
Sr: 0.000 0.000 0.000
Sr: 0.250 0.250 0.250
Os: 0.500 0.500 0.500
Rh: 0.750 0.750 0.750

Its electronic total energy is -19.1 eV for the cell shown. The calculation puts the relative energy among the computed polymorphs at 56.4 kJ per mole of atoms. The formation energy comes out at 722 meV per atom.

=====

Here is a relaxed structure of SrOs2Rh from Alexandria via LeMat-Bulk. Energies are from GGA-PBE.

a = 5.065 Å, b = 5.065 Å, c = 2.788 Å
α = 90.00°, β = 90.00°, γ = 90.00°
Positions (direct):
Sr: 0.000 0.000 0.000
Os: 0.000 0.500 0.500
Os: 0.500 0.000 0.500
Rh: 0.500 0.500 0.000

Its electronic total energy is -26.8 eV for the cell shown. The calculation puts the relative energy among the computed polymorphs at 72.4 kJ per mole of atoms. The formation energy comes out at 1176 meV per atom.

=====

Here is a relaxed structure of SrOsRh2 from Alexandria via LeMat-Bulk. Energies are from GGA-PBE.

a = 5.280 Å, b = 5.280 Å, c = 5.280 Å
α = 139.85°, β = 122.64°, γ = 72.32°
Positions (direct):
Sr: 0.000 0.000 0.000
Os: 0.500 0.500 0.000
Rh: 0.297 0.797 0.500
Rh: 0.703 0.203 0.500

Its electronic total energy is -25.4 eV for the cell shown. The calculation puts the relative energy among the computed polymorphs at 27.8 kJ per mole of atoms. The formation energy comes out at 547 meV per atom.

=====

Here is a relaxed structure of SrOs2Rh from Alexandria via LeMat-Bulk. Energies are from GGA-PBE.

a = 5.332 Å, b = 5.332 Å, c = 5.332 Å
α = 136.52°, β = 136.52°, γ = 63.18°
Positions (direct):
Sr: 0.000 0.000 0.000
Os: 0.250 0.750 0.500
Os: 0.750 0.250 0.500
Rh: 0.500 0.500 0.000

Its electronic total energy is -27.6 eV for the cell shown. The calculation puts the relative energy among the computed polymorphs at 53.1 kJ per mole of atoms. The formation energy comes out at 976 meV per atom.

=====

Here is a relaxed structure of SrOs2Rh from Alexandria via LeMat-Bulk. Energies are from GGA-PBE.

a = 2.841 Å, b = 4.852 Å, c = 5.329 Å
α = 90.00°, β = 100.36°, γ = 90.00°
Positions (direct):
Sr: 0.000 0.000 0.000
Os: 0.318 0.500 0.704
Os: 0.682 0.500 0.296
Rh: 0.500 0.000 0.500

Its electronic total energy is -28.4 eV for the cell shown. The calculation puts the relative energy among the computed polymorphs at 34.1 kJ per mole of atoms. The formation energy comes out at 779 meV per atom.

=====

Here is a relaxed structure of SrOsRh2 from Alexandria via LeMat-Bulk. Energies are from GGA-PBE.

a = 2.923 Å, b = 2.923 Å, c = 8.322 Å
α = 90.00°, β = 90.00°, γ = 90.00°
Positions (direct):
Sr: 0.000 0.000 0.000
Os: 0.500 0.500 0.302
Rh: 0.000 0.000 0.496
Rh: 0.500 0.500 0.711

Its electronic total energy is -25.9 eV for the cell shown. The calculation puts the relative energy among the computed polymorphs at 16.1 kJ per mole of atoms. The formation energy comes out at 426 meV per atom.

=====

Here is a relaxed structure of SrOsRh2 from Alexandria via LeMat-Bulk. Energies are from GGA-PBE.

a = 4.295 Å, b = 4.295 Å, c = 3.851 Å
α = 90.00°, β = 90.00°, γ = 90.00°
Positions (direct):
Sr: 0.000 0.000 0.000
Os: 0.500 0.500 0.000
Rh: 0.000 0.500 0.500
Rh: 0.500 0.000 0.500

Its electronic total energy is -25.1 eV for the cell shown. The calculation puts the relative energy among the computed polymorphs at 36.7 kJ per mole of atoms. The formation energy comes out at 639 meV per atom.

=====

Q: The highest relative energy among the computed polymorphs belongs to which entry?
A: Sr2Os2Rh